Entry 1:
First-principles (PBE) data for an optimized crystal structure of Pr5SiSn2, as listed in Alexandria via LeMat-Bulk.

a b c (Å): 4.7127 8.4130 12.7474
angles (deg): 90.00 90.00 90.00
Closest atoms and distances in Å follow each position.
Element x y z (fractional)
Pr (0.0000, 0.8529, 0.2098)  1 Si 2.95
Sn (0.5000, 0.9225, 0.6725)  9 Pr 3.29-3.61
Si (0.0000, 0.5000, 0.5000)  6 Pr 2.95-2.99
Sn (0.5000, 0.0775, 0.3275)  9 Pr 3.29-3.61
Sn (0.5000, 0.5775, 0.1725)  9 Pr 3.29-3.61
Pr (0.5000, 0.1944, 0.0673)  2 Si 2.99
Pr (0.0000, 0.3529, 0.2902)  1 Si 2.95
Pr (0.0000, 0.0000, 0.5000)  4 Sn 3.29, 4 Pr 3.59
Pr (0.0000, 0.6471, 0.7098)  1 Si 2.95
Pr (0.5000, 0.6944, 0.4327)  2 Si 2.99
Pr (0.5000, 0.3056, 0.5673)  2 Si 2.99
Pr (0.0000, 0.5000, 0.0000)  4 Sn 3.29, 4 Pr 3.59
Si (0.0000, 0.0000, 0.0000)  6 Pr 2.95-2.99
Pr (0.5000, 0.8056, 0.9327)  2 Si 2.99
Pr (0.0000, 0.1471, 0.7902)  1 Si 2.95
Sn (0.5000, 0.4225, 0.8275)  9 Pr 3.29-3.61

Formation energy without anion corrections   -0.643 eV per atom

Entry 2:
First-principles (PBE) data for an optimized crystal structure of SrZn3GaPd, as listed in Alexandria via LeMat-Bulk.

a b c (Å): 6.1145 6.5091 7.0372
angles (deg): 117.55 90.00 90.00
Closest atoms and distances in Å follow each position.
Element x y z (fractional)
Ga (0.2500, 0.3630, 0.7259)  5 Zn 2.60-2.63
Sr (0.2500, 0.7246, 0.4492)  1 Pd 2.90, 2 Ga 3.25
Zn (0.2500, 0.1547, 0.3093)  1 Pd 2.47, 1 Ga 2.60
Ga (0.7500, 0.6370, 0.2741)  5 Zn 2.60-2.63
Zn (0.7500, 0.8453, 0.6907)  1 Pd 2.47, 1 Ga 2.60
Zn (0.0000, 0.3031, 0.0000)  2 Pd 2.55, 1 Zn 2.56, 2 Ga 2.63
Zn (0.0000, 0.6969, 0.0000)  2 Pd 2.55, 1 Zn 2.56, 2 Ga 2.63
Zn (0.5000, 0.6969, 0.0000)  2 Pd 2.55, 1 Zn 2.56, 2 Ga 2.63
Pd (0.2500, 0.9569, 0.9139)  5 Zn 2.47-2.55
Sr (0.7500, 0.2754, 0.5508)  1 Pd 2.90, 2 Ga 3.25
Zn (0.5000, 0.3031, 0.0000)  2 Pd 2.55, 1 Zn 2.56, 2 Ga 2.63
Pd (0.7500, 0.0431, 0.0861)  5 Zn 2.47-2.55

E_form   -270 meV per atom

Number 1: raw total energy -5.31 eV per atom, calculated volume 505.4 Å³/cell. Number 2: raw total energy -2.56 eV per atom, calculated volume 248.3 Å³/cell.